# 1
The following is a DFT calculation (PBE-GGA) of a relaxed structure of K3RbHg8.

Properties
Final energy ... -9.52 eV for the cell shown
Energy of formation ... -0.237 eV/atom
Volume ... 387.2 Å³/f.u.

Lattice parameters (Å, degrees): 6.446 6.446 10.760 90.00 90.00 120.00
Positions (direct):
K 0.000 0.000 0.000
K 0.000 0.000 0.372
K 0.333 0.667 0.876
Rb 0.333 0.667 0.500
Hg 0.008 0.504 0.184
Hg 0.324 0.162 0.690
Hg 0.496 0.504 0.184
Hg 0.496 0.992 0.184
Hg 0.667 0.333 0.436
Hg 0.667 0.333 0.935
Hg 0.838 0.162 0.690
Hg 0.838 0.676 0.690



# 2
The following is a DFT calculation (PBE-GGA) of a relaxed structure of ScTiSn2Os.

Properties
Final energy ... -27.36 eV for the cell shown
Energy of formation ... 1.220 eV/atom
Volume ... 127.3 Å³/f.u.

Lattice parameters (Å, degrees): 5.249 5.249 4.622 90.00 90.00 90.00
Positions (direct):
Sc 0.000 0.000 0.000
Ti 0.500 0.500 0.500
Sn 0.000 0.500 0.000
Sn 0.500 0.000 0.000
Os 0.000 0.000 0.500



# 3
The following is a DFT calculation (PBE-GGA) of a relaxed structure of NaCa2Cu.

Properties
Final energy ... -9.03 eV for the cell shown
E above lowest polymorph ... 14.7 kJ per mole of atoms
Energy of formation ... 0.097 eV/atom
Volume ... 148.1 Å³/f.u.

Lattice parameters (Å, degrees): 11.013 11.013 11.013 20.85 20.85 20.85
Positions (direct):
Na 0.000 0.000 0.000
Ca 0.113 0.113 0.113
Ca 0.887 0.887 0.887
Cu 0.500 0.500 0.500



# 4
The following is a DFT calculation (PBE-GGA) of a relaxed structure of Pa3Ga5Se12.

Properties
Formation energy from raw total energies ... -822 meV/atom
Final energy ... -407.51 eV for the cell shown
Volume ... 510.6 Å³/f.u.

Lattice parameters (Å, degrees): 13.844 13.844 13.844 109.47 109.47 109.47
Positions (direct):
Pa 0.125 0.250 0.375
Pa 0.125 0.375 0.750
Pa 0.250 0.375 0.125
Pa 0.250 0.875 0.625
Pa 0.375 0.125 0.250
Pa 0.375 0.750 0.125
Pa 0.625 0.250 0.875
Pa 0.625 0.875 0.750
Pa 0.750 0.125 0.375
Pa 0.750 0.625 0.875
Pa 0.875 0.625 0.250
Pa 0.875 0.750 0.625
Ga 0.000 0.000 0.000
Ga 0.000 0.000 0.500
Ga 0.000 0.500 0.000
Ga 0.000 0.500 0.500
Ga 0.125 0.750 0.875
Ga 0.125 0.875 0.250
Ga 0.250 0.125 0.875
Ga 0.250 0.625 0.375
Ga 0.375 0.250 0.625
Ga 0.375 0.625 0.750
Ga 0.500 0.000 0.000
Ga 0.500 0.000 0.500
Ga 0.500 0.500 0.000
Ga 0.500 0.500 0.500
Ga 0.625 0.375 0.250
Ga 0.625 0.750 0.375
Ga 0.750 0.375 0.625
Ga 0.750 0.875 0.125
Ga 0.875 0.125 0.750
Ga 0.875 0.250 0.125
Se 0.041 0.218 0.131
Se 0.041 0.323 0.910
Se 0.087 0.718 0.677
Se 0.087 0.869 0.410
Se 0.090 0.631 0.413
Se 0.090 0.959 0.677
Se 0.131 0.041 0.218
Se 0.131 0.590 0.913
Se 0.177 0.218 0.587
Se 0.177 0.459 0.590
Se 0.218 0.131 0.041
Se 0.218 0.587 0.177
Se 0.282 0.323 0.913
Se 0.282 0.459 0.369
Se 0.323 0.910 0.041
Se 0.323 0.913 0.282
Se 0.369 0.282 0.459
Se 0.369 0.587 0.910
Se 0.410 0.087 0.869
Se 0.410 0.823 0.541
Se 0.413 0.090 0.631
Se 0.413 0.823 0.782
Se 0.459 0.369 0.282
Se 0.459 0.590 0.177
Se 0.541 0.410 0.823
Se 0.541 0.631 0.718
Se 0.587 0.177 0.218
Se 0.587 0.910 0.369
Se 0.590 0.177 0.459
Se 0.590 0.913 0.131
Se 0.631 0.413 0.090
Se 0.631 0.718 0.541
Se 0.677 0.087 0.718
Se 0.677 0.090 0.959
Se 0.718 0.541 0.631
Se 0.718 0.677 0.087
Se 0.782 0.413 0.823
Se 0.782 0.869 0.959
Se 0.823 0.541 0.410
Se 0.823 0.782 0.413
Se 0.869 0.410 0.087
Se 0.869 0.959 0.782
Se 0.910 0.041 0.323
Se 0.910 0.369 0.587
Se 0.913 0.131 0.590
Se 0.913 0.282 0.323
Se 0.959 0.677 0.090
Se 0.959 0.782 0.869



# 5
The following is a DFT calculation (PBE-GGA) of a relaxed structure of La2GaRh2.

Properties
Final energy ... -63.35 eV for the cell shown
Energy of formation ... -0.818 eV/atom
Volume ... 111.5 Å³/f.u.

Lattice parameters (Å, degrees): 5.881 5.881 7.907 103.20 103.20 57.59
Positions (direct):
La 0.005 0.702 0.851
La 0.298 0.995 0.649
La 0.702 0.005 0.351
La 0.995 0.298 0.149
Ga 0.362 0.638 0.250
Ga 0.638 0.362 0.750
Rh 0.235 0.503 0.491
Rh 0.497 0.765 0.009
Rh 0.503 0.235 0.991
Rh 0.765 0.497 0.509



# 6
The following is a DFT calculation (PBE-GGA) of a relaxed structure of AlFeNiGe.

Properties
Final energy ... -23.62 eV for the cell shown
Energy of formation ... -0.254 eV/atom
Volume ... 48.7 Å³/f.u.

Lattice parameters (Å, degrees): 4.100 4.100 4.100 60.00 60.00 60.00
Positions (direct):
Al 0.000 0.000 0.000
Fe 0.750 0.750 0.750
Ni 0.250 0.250 0.250
Ge 0.500 0.500 0.500



no.,magnetization (μB/cell)
1,0.00
2,0.17
3,0.00
4,10.05
5,0.00
6,1.33